## i
BaAg2SnGe | PBE-GGA | relaxed

Calculated density (kg/m³): 7027
SG: I4mm, No. 107

Unit cell a=6.5649 b=6.5649 c=6.5649 alpha=137.29 beta=137.29 gamma=61.99
Closest atoms and distances in Å follow each position.
Atoms (fractional coordinates):
1 Ba 0.0000 0.0000 0.0000  8 Ag 3.61-3.78, 4 Sn 3.65, 4 Ge 3.65
2 Ag 0.2400 0.7400 0.5000  2 Ge 2.73, 2 Sn 2.85
3 Ag 0.7400 0.2400 0.5000  2 Ge 2.73, 2 Sn 2.85
4 Sn 0.3780 0.3780 0.0000  1 Ge 2.75, 4 Ag 2.85
5 Ge 0.6225 0.6225 0.0000  4 Ag 2.73, 1 Sn 2.75


## ii
BaAg2SnGe | PBE-GGA | relaxed

Calculated density (kg/m³): 7102
SG: P4/nmm, No. 129

Unit cell a=4.7115 b=4.7115 c=11.4689 alpha=90.00 beta=90.00 gamma=90.00
Closest atoms and distances in Å follow each position.
Atoms (fractional coordinates):
1 Ba 0.2500 0.2500 0.2345  8 Ag 3.58-3.59, 4 Ge 3.58, 4 Sn 3.85
2 Ba 0.7500 0.7500 0.7655  8 Ag 3.58-3.59, 4 Ge 3.58, 4 Sn 3.85
3 Ag 0.2500 0.2500 0.6489  1 Ge 2.65, 4 Sn 2.91
4 Ag 0.2500 0.7500 0.0000  4 Ge 2.73
5 Ag 0.7500 0.2500 0.0000  4 Ge 2.73
6 Ag 0.7500 0.7500 0.3511  1 Ge 2.65, 4 Sn 2.91
7 Sn 0.2500 0.7500 0.5000  4 Ag 2.91
8 Sn 0.7500 0.2500 0.5000  4 Ag 2.91
9 Ge 0.2500 0.2500 0.8804  5 Ag 2.65-2.73
10 Ge 0.7500 0.7500 0.1196  5 Ag 2.65-2.73


Stability verdict: i, ahead by 2.3 kJ/mol of atoms